Density functional theory data (PBE) for a geometry-optimized CaReIr2 structure.

Calculated formation energy = 250 meV per atom
Electronic total energy = -7.793 eV/atom
Magnetization = 0.0 μB per formula unit

a = 9.0946 Å, b = 2.7755 Å, c = 5.6534 Å
α = 90.00°, β = 97.54°, γ = 90.00°
Last column: nearest neighbours and their distance in Å.
Space group C2/m (No. 12)
One atom of each set of equivalent atoms:
Ca 0.0000 0.0000 0.0000 x2  2 Ca 2.78, 6 Ir 2.98-3.06
Re 0.0000 0.5000 0.5000 x2  6 Ir 2.71, 2 Re 2.78
Ir 0.2428 0.0000 0.6931 x4  4 Ir 2.60-2.78, 3 Re 2.71

---

Density functional theory data (PBE) for a geometry-optimized Ti2NbRh structure.

Calculated formation energy = -409 meV per atom
Electronic total energy = -8.711 eV/atom
Magnetization = 0.0 μB per formula unit

a = 4.5317 Å, b = 4.5317 Å, c = 3.1136 Å
α = 90.00°, β = 90.00°, γ = 90.00°
Last column: nearest neighbours and their distance in Å.
Space group P4/mmm (No. 123)
One atom of each set of equivalent atoms:
Ti 0.0000 0.5000 0.0000 x2  4 Nb 2.75, 4 Rh 2.75
Nb 0.0000 0.0000 0.5000 x1  8 Ti 2.75
Rh 0.5000 0.5000 0.5000 x1  8 Ti 2.75

---

Density functional theory data (PBE) for a geometry-optimized TmAl3Zn2 structure.

Calculated formation energy = -240 meV per atom
Electronic total energy = -3.281 eV/atom
Magnetization = 0.0 μB per formula unit

a = 15.4833 Å, b = 4.2973 Å, c = 6.7469 Å
α = 90.00°, β = 106.58°, γ = 90.00°
Last column: nearest neighbours and their distance in Å.
Space group C2/m (No. 12)
One atom of each set of equivalent atoms:
Tm 0.1162 0.0000 0.1804 x4  7 Al 3.03-3.24, 7 Zn 3.03-3.21
Al 0.0671 0.0000 0.6859 x4  3 Zn 2.56-2.70, 3 Al 2.73-2.76
Al 0.1201 0.5000 0.4991 x4  4 Zn 2.70-2.81, 3 Al 2.73-2.77
Al 0.1978 0.5000 0.9232 x4  2 Zn 2.58-2.74, 3 Al 2.71-2.77
Zn 0.0244 0.5000 0.8413 x4  1 Zn 2.47, 4 Al 2.56-2.71
Zn 0.2369 0.0000 0.6542 x4  7 Al 2.70-2.98

---

Density functional theory data (PBE) for a geometry-optimized TlCd2Sn3 structure.

Calculated formation energy = 61 meV per atom
Electronic total energy = -2.640 eV/atom
Magnetization = 0.0 μB per formula unit

a = 6.5508 Å, b = 6.5508 Å, c = 26.8232 Å
α = 90.00°, β = 90.00°, γ = 120.00°
Last column: nearest neighbours and their distance in Å.
Space group R-3m (No. 166, hexagonal axes)
One atom of each set of equivalent atoms:
Tl 0.0000 0.0000 0.2012 x6  9 Sn 3.43-3.45
Cd 0.0000 0.0000 0.0000 x3  6 Sn 3.19, 6 Cd 3.28
Cd 0.0000 0.5000 0.0000 x9  4 Sn 3.16, 6 Cd 3.28
Sn 0.0062 0.5031 0.2386 x18  3 Cd 3.16-3.19, 4 Sn 3.21-3.34, 3 Tl 3.43-3.45

---

Density functional theory data (PBE) for a geometry-optimized Ag3Cl structure.

E_form (uncorrected) = 0.22 eV/atom
Electronic total energy = -2.378 eV/atom
Magnetization = 0.0 μB per formula unit

a = 5.4380 Å, b = 5.4380 Å, c = 5.4380 Å
α = 90.00°, β = 90.00°, γ = 90.00°
Last column: nearest neighbours and their distance in Å.
Space group Pm-3n (No. 223)
One atom of each set of equivalent atoms:
Ag 0.0000 0.2500 0.5000 x6  2 Ag 2.72, 4 Cl 3.04
Cl 0.0000 0.0000 0.0000 x2  12 Ag 3.04

---

Density functional theory data (PBE) for a geometry-optimized CrAg3As structure.

Calculated formation energy = 692 meV per atom
Electronic total energy = -3.874 eV/atom
Magnetization = 5.3 μB per formula unit

a = 4.9179 Å, b = 4.9179 Å, c = 4.9179 Å
α = 90.00°, β = 90.00°, γ = 90.00°
Last column: nearest neighbours and their distance in Å.
Space group Pm-3m (No. 221)
One atom of each set of equivalent atoms:
Cr 0.0000 0.0000 0.0000 x1  12 Ag 3.48
Ag 0.0000 0.5000 0.5000 x3  2 As 2.46
As 0.5000 0.5000 0.5000 x1  6 Ag 2.46

---

Density functional theory data (PBE) for a geometry-optimized Zn4Te3 structure.

E_form (uncorrected) = -0.06 eV/atom
Electronic total energy = -2.137 eV/atom
Magnetization = 0.0 μB per formula unit

a = 5.9611 Å, b = 5.9611 Å, c = 5.9611 Å
α = 90.00°, β = 90.00°, γ = 90.00°
Last column: nearest neighbours and their distance in Å.
Space group P-43m (No. 215)
One atom of each set of equivalent atoms:
Zn 0.2308 0.2308 0.7692 x4  3 Te 2.65
Te 0.0000 0.5000 0.5000 x3  4 Zn 2.65

---

Density functional theory data (PBE) for a geometry-optimized Fe2CoP structure.

Calculated formation energy = 152 meV per atom
Electronic total energy = -7.208 eV/atom
Magnetization = 5.0 μB per formula unit

a = 3.3928 Å, b = 3.3928 Å, c = 16.6121 Å
α = 90.00°, β = 90.00°, γ = 90.00°
Last column: nearest neighbours and their distance in Å.
Space group I-42d (No. 122)
One atom of each set of equivalent atoms:
Fe 0.2387 0.2500 0.1250 x8  4 Fe 2.35-2.45, 2 P 2.38, 2 Co 2.41
Co 0.0000 0.0000 0.5000 x4  4 P 2.40, 4 Fe 2.41
P 0.0000 0.0000 0.0000 x4  4 Fe 2.38, 4 Co 2.40